# 1
DFT (PBE) results for crystalline Rb2NaGa at its relaxed geometry.

- E_form: 0.37 eV per atom
- Size of the total moment: 0.0 μB per formula unit
- Crystal system: trigonal
- V: 636 Å³/cell

Cell lengths 4.1624, 4.1624, 42.3848 Å; angles 90.00, 90.00, 120.00 degrees
Sites, in units of the cell vectors:
Rb 0.0000 0.0000 0.0822
Rb 0.0000 0.0000 0.9178
Rb 0.3333 0.6667 0.5845
Rb 0.3333 0.6667 0.7489
Rb 0.6667 0.3333 0.2511
Rb 0.6667 0.3333 0.4155
Na 0.0000 0.0000 0.5000
Na 0.3333 0.6667 0.1667
Na 0.6667 0.3333 0.8333
Ga 0.0000 0.0000 0.0000
Ga 0.3333 0.6667 0.6667
Ga 0.6667 0.3333 0.3333

# 2
DFT (PBE) results for crystalline Pm2Y3Th2 at its relaxed geometry.

- E_form: 0.10 eV per atom
- Size of the total moment: 0.0 μB per formula unit
- Crystal system: triclinic
- V: 232 Å³/cell
- Offset from the most stable computed form: 0 meV/atom

Cell lengths 3.5506, 5.8792, 11.5219 Å; angles 104.65, 93.42, 90.36 degrees
Sites, in units of the cell vectors:
Pm 0.2426 0.4213 0.3427
Pm 0.7574 0.5787 0.6573
Y 0.2516 0.7249 0.9507
Y 0.5000 0.0000 0.5000
Y 0.7484 0.2751 0.0493
Th 0.1988 0.1370 0.7734
Th 0.8012 0.8630 0.2266

# 3
DFT (PBE) results for crystalline HPd3Pt at its relaxed geometry.

- Size of the total moment: 0.0 μB per formula unit
- Crystal system: monoclinic
- V: 133 Å³/cell
- Offset from the most stable computed form: 67 meV/atom

Cell lengths 7.1665, 7.1665, 6.8523 Å; angles 93.73, 93.73, 22.17 degrees
Sites, in units of the cell vectors:
H 0.0786 0.0786 0.3580
H 0.9214 0.9214 0.6420
Pd 0.0498 0.0498 0.6768
Pd 0.0930 0.0930 0.0700
Pd 0.3330 0.3330 0.5804
Pd 0.6670 0.6670 0.4196
Pd 0.9070 0.9070 0.9300
Pd 0.9502 0.9502 0.3232
Pt 0.2869 0.2869 0.1695
Pt 0.7131 0.7131 0.8305

# 4
DFT (PBE) results for crystalline CaMoIr2 at its relaxed geometry.

- E_form: 0.19 eV per atom
- Size of the total moment: 0.0 μB per formula unit
- Crystal system: orthorhombic
- V: 74 Å³/cell
- Offset from the most stable computed form: 357 meV/atom

Cell lengths 2.7884, 4.1122, 6.4106 Å; angles 90.00, 90.00, 90.00 degrees
Sites, in units of the cell vectors:
Ca 0.0000 0.0000 0.0000
Mo 0.5000 0.5000 0.6456
Ir 0.0000 0.0000 0.4937
Ir 0.5000 0.5000 0.2566